Entry 1:
This record from the Alexandria database describes a relaxed structure of HoZrCdRu. The functional is PBE-GGA.

The value obtained for the formation energy is -0.23 eV per atom.

```
HoZrCdRu
1.0
0.0000 3.4696 3.4696
3.4696 0.0000 3.4696
3.4696 3.4696 0.0000
Ho Zr Cd Ru
1 1 1 1
Direct
0.0000 0.0000 0.0000
0.5000 0.5000 0.5000
0.2500 0.2500 0.2500
0.7500 0.7500 0.7500
```

---

Entry 2:
This record from the Alexandria database describes a relaxed structure of HoCdS2. The functional is PBE-GGA.

As for the raw formation energy: -1224 meV/atom.

```
HoCdS2
1.0
1.9775 1.1417 8.1600
-1.9775 1.1417 8.1600
0.0000 -2.2834 8.1600
Ho Cd S
1 1 2
Direct
0.0000 0.0000 0.0000
0.5000 0.5000 0.5000
0.3938 0.3938 0.3938
0.6062 0.6062 0.6062
```

---

Entry 3:
This record from the Alexandria database describes a relaxed structure of Ho2CdS. The functional is PBE-GGA.

As for the raw formation energy: -740 meV/atom.

```
Ho2CdS
1.0
1.8357 1.0598 9.5412
-1.8357 1.0598 9.5412
0.0000 -2.1197 9.5412
Ho Cd S
2 1 1
Direct
0.1098 0.1098 0.1098
0.8902 0.8902 0.8902
0.0000 0.0000 0.0000
0.5000 0.5000 0.5000
```

---

Entry 4:
This record from the Alexandria database describes a relaxed structure of Ho4CdS2. The functional is PBE-GGA.

As for the raw formation energy: -1232 meV/atom.

```
Ho4CdS2
1.0
1.9741 -6.4361 0.0000
1.9741 6.4361 0.0000
0.0000 0.0000 13.5475
Ho Cd S
8 2 4
Direct
0.0000 0.0000 0.0000
0.0000 0.0000 0.5000
0.2662 0.7338 0.6165
0.2662 0.7338 0.8835
0.4288 0.5712 0.2500
0.5712 0.4288 0.7500
0.7338 0.2662 0.1165
0.7338 0.2662 0.3835
0.1102 0.8898 0.2500
0.8898 0.1102 0.7500
0.3654 0.6346 0.0582
0.3654 0.6346 0.4418
0.6346 0.3654 0.5582
0.6346 0.3654 0.9418
```

---

Entry 5:
This record from the Alexandria database describes a relaxed structure of Ho2CdS4. The functional is PBE-GGA.

As for the energy above the most stable polymorph in this dataset: 0.992 eV/f.u. As for the raw formation energy: -1533 meV/atom.

```
Ho2CdS4
1.0
-3.9573 4.0007 5.7169
3.9573 -4.0007 5.7169
3.9573 4.0007 -5.7169
Ho Cd S
4 2 8
Direct
0.0000 0.0000 0.0000
0.3838 0.6338 0.7500
0.5000 0.0000 0.5000
0.6162 0.3662 0.2500
0.0000 0.0000 0.5000
0.0000 0.5000 0.0000
0.2196 0.2392 0.9804
0.2412 0.7608 0.4804
0.2487 0.2343 0.4856
0.2487 0.7632 0.0144
0.7513 0.2368 0.9856
0.7513 0.7657 0.5144
0.7588 0.2392 0.5196
0.7804 0.7608 0.0196
```

---

Entry 6:
This record from the Alexandria database describes a relaxed structure of Ho2CdS4. The functional is PBE-GGA.

As for the energy above the most stable polymorph in this dataset: 0.911 eV/f.u. As for the raw formation energy: -1544 meV/atom.

```
Ho2CdS4
1.0
-2.7468 2.7468 5.4976
2.7468 -2.7468 5.4976
2.7468 2.7468 -5.4976
Ho Cd S
2 1 4
Direct
0.0000 0.0000 0.0000
0.7500 0.2500 0.5000
0.2500 0.7500 0.5000
0.2456 0.2456 0.0000
0.5060 0.0060 0.5000
0.7544 0.7544 0.0000
0.9940 0.4940 0.5000
```

---

Entry 7:
This record from the Alexandria database describes a relaxed structure of Ho3CdS. The functional is PBE-GGA.

As for the energy above the most stable polymorph in this dataset: 0.737 eV/f.u. As for the raw formation energy: -759 meV/atom.

```
Ho3CdS
1.0
5.1480 0.0000 0.0000
0.0000 5.1480 0.0000
0.0000 0.0000 5.1480
Ho Cd S
3 1 1
Direct
0.0000 0.0000 0.5000
0.0000 0.5000 0.0000
0.5000 0.0000 0.0000
0.5000 0.5000 0.5000
0.0000 0.0000 0.0000
```

---

Entry 8:
This record from the Alexandria database describes a relaxed structure of Ho2CdS4. The functional is PBE-GGA.

As for the energy above the most stable polymorph in this dataset: 0.000 eV/f.u. As for the raw formation energy: -1674 meV/atom.

```
Ho2CdS4
1.0
0.0000 5.6293 5.6293
5.6293 0.0000 5.6293
5.6293 5.6293 0.0000
Ho Cd S
4 2 8
Direct
0.0000 0.0000 0.0000
0.0000 0.0000 0.5000
0.0000 0.5000 0.0000
0.5000 0.0000 0.0000
0.3750 0.3750 0.3750
0.6250 0.6250 0.6250
0.2270 0.7577 0.7577
0.2423 0.2423 0.2423
0.2423 0.2423 0.7730
0.2423 0.7730 0.2423
0.7577 0.2270 0.7577
0.7577 0.7577 0.2270
0.7577 0.7577 0.7577
0.7730 0.2423 0.2423
```

---

Entry 9:
This record from the Alexandria database describes a relaxed structure of Ho3CdS. The functional is PBE-GGA.

As for the energy above the most stable polymorph in this dataset: 0.000 eV/f.u. As for the raw formation energy: -906 meV/atom.

```
Ho3CdS
1.0
9.0392 0.0000 0.0000
0.0000 3.8545 0.0000
0.0000 0.0000 14.7773
Ho Cd S
12 4 4
Direct
0.0282 0.2500 0.1102
0.1650 0.2500 0.5161
0.2102 0.7500 0.2830
0.2898 0.2500 0.7830
0.3350 0.7500 0.0161
0.4718 0.7500 0.6102
0.5282 0.2500 0.3898
0.6650 0.2500 0.9839
0.7102 0.7500 0.2170
0.7898 0.2500 0.7170
0.8350 0.7500 0.4839
0.9718 0.7500 0.8898
0.0654 0.7500 0.6749
0.4346 0.2500 0.1749
0.5654 0.7500 0.8251
0.9346 0.2500 0.3251
0.1617 0.2500 0.9465
0.3383 0.7500 0.4465
0.6617 0.2500 0.5535
0.8383 0.7500 0.0535
```

---

Entry 10:
This record from the Alexandria database describes a relaxed structure of Sr2HoCdS4. The functional is PBE-GGA.

As for the raw formation energy: -1645 meV/atom.

```
Sr2HoCdS4
1.0
6.9985 0.0000 0.0000
0.0000 4.0879 0.0000
-2.4826 0.0000 6.8616
Sr Ho Cd S
2 1 1 4
Direct
0.0000 0.0000 0.0000
0.0000 0.5000 0.5000
0.5000 0.0000 0.5000
0.5000 0.5000 0.0000
0.2705 0.5000 0.2658
0.2757 0.0000 0.7473
0.7243 0.0000 0.2527
0.7295 0.5000 0.7342
```

---

Entry 11:
This record from the Alexandria database describes a relaxed structure of Ho7Cd2Sb2. The functional is PBE-GGA.

As for the raw formation energy: -249 meV/atom.

```
Ho7Cd2Sb2
1.0
4.1182 -5.4482 0.0000
4.1182 5.4482 0.0000
0.0000 0.0000 7.5266
Ho Cd Sb
7 2 2
Direct
0.0000 0.0000 0.0000
0.0000 0.5000 0.2814
0.0000 0.5000 0.7186
0.5000 0.0000 0.2814
0.5000 0.0000 0.7186
0.5000 0.5000 0.2726
0.5000 0.5000 0.7274
0.1725 0.1725 0.5000
0.8275 0.8275 0.5000
0.2861 0.7139 0.0000
0.7139 0.2861 0.0000
```

---

Entry 12:
This record from the Alexandria database describes a relaxed structure of Ho6Cd5Sb. The functional is PBE-GGA.

As for the raw formation energy: -411 meV/atom.

```
Ho6Cd5Sb
1.0
-2.6462 3.6754 7.9545
2.6462 -3.6754 7.9545
2.6462 3.6754 -7.9545
Ho Cd Sb
6 5 1
Direct
0.0825 0.3348 0.7476
0.2475 0.0000 0.2475
0.4128 0.6652 0.7476
0.5872 0.3348 0.2524
0.7525 0.0000 0.7525
0.9175 0.6652 0.2524
0.1771 0.1771 0.0000
0.3332 0.8332 0.5000
0.5000 0.5000 0.0000
0.6668 0.1668 0.5000
0.8229 0.8229 0.0000
0.0000 0.5000 0.5000
```

---

Entry 13:
This record from the Alexandria database describes a relaxed structure of Ho2CdSb4. The functional is PBE-GGA.

As for the raw formation energy: -611 meV/atom.

```
Ho2CdSb4
1.0
4.3004 0.0000 0.0000
0.0000 4.3004 0.0000
0.0000 0.0000 10.5884
Ho Cd Sb
2 1 4
Direct
0.0000 0.5000 0.2306
0.5000 0.0000 0.7694
0.0000 0.0000 0.5000
0.0000 0.0000 0.0000
0.0000 0.5000 0.6817
0.5000 0.0000 0.3183
0.5000 0.5000 0.0000
```

---

Entry 14:
This record from the Alexandria database describes a relaxed structure of HoCdSb2. The functional is PBE-GGA.

As for the energy above the most stable polymorph in this dataset: 0.425 eV/f.u. As for the raw formation energy: -345 meV/atom.

```
HoCdSb2
1.0
2.2163 1.2796 6.8452
-2.2163 1.2796 6.8452
0.0000 -2.5592 6.8452
Ho Cd Sb
1 1 2
Direct
0.0000 0.0000 0.0000
0.5000 0.5000 0.5000
0.2486 0.2486 0.2486
0.7514 0.7514 0.7514
```

---

Entry 15:
This record from the Alexandria database describes a relaxed structure of HoCdSb2. The functional is PBE-GGA.

As for the energy above the most stable polymorph in this dataset: 0.000 eV/f.u. As for the raw formation energy: -451 meV/atom.

```
HoCdSb2
1.0
4.9776 0.0000 0.0000
0.0000 4.9776 0.0000
0.0000 0.0000 4.1253
Ho Cd Sb
1 1 2
Direct
0.0000 0.0000 0.0000
0.5000 0.5000 0.0000
0.0000 0.5000 0.5000
0.5000 0.0000 0.5000
```

---

Entry 16:
This record from the Alexandria database describes a relaxed structure of Ho3ScCd. The functional is PBE-GGA.

As for the energy above the most stable polymorph in this dataset: 0.575 eV/f.u. The value obtained for the formation energy is 0.09 eV per atom.

```
Ho3ScCd
1.0
3.5063 0.0000 0.0000
0.0000 11.0201 0.0000
-1.7312 0.0000 7.7459
Ho Sc Cd
6 2 2
Direct
0.1476 0.0081 0.2905
0.1476 0.4919 0.2905
0.2985 0.2500 0.5953
0.7015 0.7500 0.4047
0.8524 0.5081 0.7095
0.8524 0.9919 0.7095
0.0178 0.7500 0.0442
0.9822 0.2500 0.9558
0.3667 0.7500 0.7382
0.6333 0.2500 0.2618
```

---

Entry 17:
This record from the Alexandria database describes a relaxed structure of Ho3Sc3Cd2. The functional is PBE-GGA.

The value obtained for the formation energy is -0.04 eV per atom.

```
Ho3Sc3Cd2
1.0
2.4933 -5.5850 0.0000
2.4933 5.5850 0.0000
0.0000 0.0000 15.3077
Ho Sc Cd
6 6 4
Direct
0.0472 0.9528 0.6061
0.0472 0.9528 0.8939
0.2811 0.7189 0.7500
0.7189 0.2811 0.2500
0.9528 0.0472 0.1061
0.9528 0.0472 0.3939
0.3613 0.6387 0.5367
0.3613 0.6387 0.9633
0.4378 0.5622 0.2500
0.5622 0.4378 0.7500
0.6387 0.3613 0.0367
0.6387 0.3613 0.4633
0.2324 0.7676 0.1264
0.2324 0.7676 0.3736
0.7676 0.2324 0.6264
0.7676 0.2324 0.8736
```

---

Entry 18:
This record from the Alexandria database describes a relaxed structure of Ho3Sc4Cd2. The functional is PBE-GGA.

The value obtained for the formation energy is -0.08 eV per atom.

```
Ho3Sc4Cd2
1.0
6.9528 -2.2972 0.0000
6.9528 2.2972 0.0000
-2.3297 0.0000 7.2076
Ho Sc Cd
3 4 2
Direct
0.0000 0.0000 0.0000
0.1139 0.1139 0.6645
0.8861 0.8861 0.3355
0.2206 0.2206 0.3301
0.4394 0.4394 0.6644
0.5606 0.5606 0.3356
0.7794 0.7794 0.6699
0.3310 0.3310 0.9976
0.6690 0.6690 0.0024
```

---

Entry 19:
This record from the Alexandria database describes a relaxed structure of HoSc2Cd. The functional is PBE-GGA.

As for the energy above the most stable polymorph in this dataset: 0.374 eV/f.u. The value obtained for the formation energy is -0.04 eV per atom.

```
HoSc2Cd
1.0
1.7038 0.9837 10.2499
-1.7038 0.9837 10.2499
0.0000 -1.9674 10.2499
Ho Sc Cd
1 2 1
Direct
0.0000 0.0000 0.0000
0.5776 0.5776 0.5776
0.7553 0.7553 0.7553
0.1662 0.1662 0.1662
```

---

Entry 20:
This record from the Alexandria database describes a relaxed structure of Ho2Sc2Cd. The functional is PBE-GGA.

As for the energy above the most stable polymorph in this dataset: 0.771 eV/f.u. The value obtained for the formation energy is 0.10 eV per atom.

```
Ho2Sc2Cd
1.0
-2.4400 2.4400 12.0559
2.4400 -2.4400 12.0559
2.4400 2.4400 -12.0559
Ho Sc Cd
4 4 2
Direct
0.0482 0.2982 0.7500
0.2982 0.0482 0.2500
0.7018 0.9518 0.7500
0.9518 0.7018 0.2500
0.2006 0.4506 0.7500
0.4506 0.2006 0.2500
0.5494 0.7994 0.7500
0.7994 0.5494 0.2500
0.1250 0.8750 0.2500
0.8750 0.1250 0.7500
```

---

Entry 21:
This record from the Alexandria database describes a relaxed structure of HoSc12Cd3. The functional is PBE-GGA.

The value obtained for the formation energy is -0.06 eV per atom.

```
HoSc12Cd3
1.0
4.5365 0.0000 0.0000
0.0000 4.5365 0.0000
0.0000 0.0000 18.4800
Ho Sc Cd
1 12 3
Direct
0.0000 0.0000 0.0000
0.0000 0.5000 0.1322
0.0000 0.5000 0.3781
0.0000 0.5000 0.6219
0.0000 0.5000 0.8678
0.5000 0.0000 0.1322
0.5000 0.0000 0.3781
0.5000 0.0000 0.6219
0.5000 0.0000 0.8678
0.5000 0.5000 0.0000
0.5000 0.5000 0.2570
0.5000 0.5000 0.5000
0.5000 0.5000 0.7430
0.0000 0.0000 0.2577
0.0000 0.0000 0.5000
0.0000 0.0000 0.7423
```

---

Entry 22:
This record from the Alexandria database describes a relaxed structure of Ho8ScCd2. The functional is PBE-GGA.

The value obtained for the formation energy is 0.04 eV per atom.

```
Ho8ScCd2
1.0
4.3312 -7.4954 0.0000
4.3312 7.4954 0.0000
-2.1227 0.0000 5.0430
Ho Sc Cd
8 1 2
Direct
0.0954 0.3191 0.6146
0.2145 0.7855 0.0000
0.3191 0.0954 0.6146
0.3918 0.3918 0.1999
0.6082 0.6082 0.8001
0.6809 0.9046 0.3854
0.7855 0.2145 0.0000
0.9046 0.6809 0.3854
0.0000 0.0000 0.0000
0.3050 0.6950 0.5000
0.6950 0.3050 0.5000
```

---

Entry 23:
This record from the Alexandria database describes a relaxed structure of Ho2Sc2Cd3. The functional is PBE-GGA.

The value obtained for the formation energy is -0.14 eV per atom.

```
Ho2Sc2Cd3
1.0
2.2826 -11.5052 0.0000
2.2826 11.5052 0.0000
0.0000 0.0000 3.2326
Ho Sc Cd
2 2 3
Direct
0.0738 0.9262 0.0000
0.9262 0.0738 0.0000
0.2085 0.7915 0.0000
0.7915 0.2085 0.0000
0.3449 0.6551 0.5000
0.5000 0.5000 0.5000
0.6551 0.3449 0.5000
```